The following is a SCAN calculation of a PBEsol-optimized structure of ZrMn2Cl, from Alexandria.

Summary:
M_tot (μB per formula unit): 6.18
Raw total energy (eV per atom): -18.329
DOS at the Fermi energy (states/eV per atom): 1.06
ΔE_f (raw) (eV per atom): 0.4674
Energy above the most stable polymorph in this dataset (meV per atom): 879

abc: 6.2845 6.2845 6.2845
angles: 90.00 90.00 90.00
Space group Fm-3m (No. 225)
Unique sites:
Zr 0.0000 0.0000 0.0000 (multiplicity 4)
Mn 0.2500 0.2500 0.2500 (multiplicity 8)
Cl 0.0000 0.0000 0.5000 (multiplicity 4)

---

The following is a SCAN calculation of a PBEsol-optimized structure of ZrMnCl2, from Alexandria.

Summary:
M_tot (μB per formula unit): 4.52
Raw total energy (eV per atom): -16.957
DOS at the Fermi energy (states/eV per atom): 0.24
ΔE_f (raw) (eV per atom): -0.7299
Energy above the most stable polymorph in this dataset (meV per atom): 423

abc: 3.0858 3.0858 9.1094
angles: 90.00 90.00 90.00
Space group P4/mmm (No. 123)
Unique sites:
Zr 0.0000 0.0000 0.0000 (multiplicity 1)
Mn 0.0000 0.0000 0.5000 (multiplicity 1)
Cl 0.5000 0.5000 0.1686 (multiplicity 2)

---

The following is a SCAN calculation of a PBEsol-optimized structure of ZrMnCl2, from Alexandria.

Summary:
M_tot (μB per formula unit): 4.89
Raw total energy (eV per atom): -17.158
DOS at the Fermi energy (states/eV per atom): 0.40
ΔE_f (raw) (eV per atom): -0.9304
Energy above the most stable polymorph in this dataset (meV per atom): 223

abc: 3.1671 3.1671 28.7001
angles: 90.00 90.00 120.00
Space group R-3m (No. 166, hexagonal axes)
Unique sites:
Zr 0.0000 0.0000 0.0000 (multiplicity 3)
Mn 0.0000 0.0000 0.5000 (multiplicity 3)
Cl 0.0000 0.0000 0.2692 (multiplicity 6)

---

The following is a SCAN calculation of a PBEsol-optimized structure of Zr4MnCl, from Alexandria.

Summary:
M_tot (μB per formula unit): 4.03
Raw total energy (eV per atom): -24.307
DOS at the Fermi energy (states/eV per atom): 1.10
ΔE_f (raw) (eV per atom): 0.5308

abc: 8.0193 8.0193 8.0193
angles: 90.00 90.00 90.00
Space group F-43m (No. 216)
Unique sites:
Zr 0.1219 0.1219 0.3781 (multiplicity 16)
Mn 0.2500 0.2500 0.7500 (multiplicity 4)
Cl 0.0000 0.0000 0.0000 (multiplicity 4)

---

The following is a SCAN calculation of a PBEsol-optimized structure of ZrMn2Cl, from Alexandria.

Summary:
M_tot (μB per formula unit): 1.00
Raw total energy (eV per atom): -19.209
DOS at the Fermi energy (states/eV per atom): 0.35
ΔE_f (raw) (eV per atom): -0.4119
Energy above the most stable polymorph in this dataset (meV per atom): 0

abc: 2.9897 2.9897 8.0315
angles: 90.00 90.00 90.00
Space group P4mm (No. 99)
Unique sites:
Zr 0.0000 0.0000 0.0000 (multiplicity 1)
Mn 0.0000 0.0000 0.6197 (multiplicity 1)
Mn 0.5000 0.5000 0.7558 (multiplicity 1)
Cl 0.5000 0.5000 0.2089 (multiplicity 1)

---

The following is a SCAN calculation of a PBEsol-optimized structure of Zr3MnCl, from Alexandria.

Summary:
M_tot (μB per formula unit): 3.60
Raw total energy (eV per atom): -23.724
DOS at the Fermi energy (states/eV per atom): 0.87
ΔE_f (raw) (eV per atom): -0.0578

abc: 4.7046 4.7046 4.7046
angles: 90.00 90.00 90.00
Space group Pm-3m (No. 221)
Unique sites:
Zr 0.0000 0.0000 0.5000 (multiplicity 3)
Mn 0.5000 0.5000 0.5000 (multiplicity 1)
Cl 0.0000 0.0000 0.0000 (multiplicity 1)

---

The following is a SCAN calculation of a PBEsol-optimized structure of ZrMnCl2, from Alexandria.

Summary:
M_tot (μB per formula unit): 3.25
Raw total energy (eV per atom): -17.380
DOS at the Fermi energy (states/eV per atom): 0.27
ΔE_f (raw) (eV per atom): -1.1529
Energy above the most stable polymorph in this dataset (meV per atom): 0

abc: 3.3109 3.3109 25.7385
angles: 90.00 90.00 120.00
Space group R3m (No. 160, hexagonal axes)
Unique sites:
Zr 0.0000 0.0000 0.0000 (multiplicity 3)
Mn 0.0000 0.0000 0.2498 (multiplicity 3)
Cl 0.0000 0.0000 0.5242 (multiplicity 3)
Cl 0.0000 0.0000 0.7341 (multiplicity 3)

---

The following is a SCAN calculation of a PBEsol-optimized structure of ZrMn2Cl, from Alexandria.

Summary:
M_tot (μB per formula unit): 6.97
Raw total energy (eV per atom): -18.849
DOS at the Fermi energy (states/eV per atom): 0.75
ΔE_f (raw) (eV per atom): -0.0519
Energy above the most stable polymorph in this dataset (meV per atom): 360

abc: 5.1235 8.6645 3.0566
angles: 90.00 90.00 90.00
Space group Cmmm (No. 65)
Unique sites:
Zr 0.0000 0.0000 0.0000 (multiplicity 2)
Mn 0.2500 0.2500 0.5000 (multiplicity 4)
Cl 0.0000 0.5000 0.0000 (multiplicity 2)